Density functional theory data (GGA-PBE) for a relaxed structure of CaPbAu2.

Output
**Formation enthalpy at 0 K**: 0.006 eV/atom
**V**: 204 Å³ per cell
**Density**: 10.441 g/cm3

CIF file:
```
data_CaPbAu2
_cell_length_a 3.320
_cell_length_b 5.173
_cell_length_c 11.873
_cell_angle_alpha 90.00
_cell_angle_beta 90.00
_cell_angle_gamma 90.00
_symmetry_space_group_name_H-M 'I m m m'
_symmetry_Int_Tables_number 71
_symmetry_space_group_name_Hall '-I 2 2'
loop_
_atom_site_label
_atom_site_type_symbol
_atom_site_fract_x
_atom_site_fract_y
_atom_site_fract_z
Ca1 Ca 0.000 0.000 0.000
Pb1 Pb 0.000 0.000 0.500
Au1 Au 0.000 0.000 0.256
```

***

Density functional theory data (GGA-PBE) for a relaxed structure of Ca3PbAu.

Output
**Formation enthalpy at 0 K**: -0.382 eV/atom
**V**: 178 Å³ per cell
**Density**: 4.888 g/cm3

CIF file:
```
data_Ca3PbAu
_cell_length_a 5.627
_cell_length_b 5.627
_cell_length_c 5.627
_cell_angle_alpha 90.00
_cell_angle_beta 90.00
_cell_angle_gamma 90.00
_symmetry_space_group_name_H-M 'P m -3 m'
_symmetry_Int_Tables_number 221
_symmetry_space_group_name_Hall '-P 4 2 3'
loop_
_atom_site_label
_atom_site_type_symbol
_atom_site_fract_x
_atom_site_fract_y
_atom_site_fract_z
Ca1 Ca 0.000 0.000 0.500
Pb1 Pb 0.500 0.500 0.500
Au1 Au 0.000 0.000 0.000
```

***

Density functional theory data (GGA-PBE) for a relaxed structure of CaPb2Au.

Output
**Formation enthalpy at 0 K**: -0.341 eV/atom
**V**: 105 Å³ per cell
**Density**: 10.257 g/cm3

CIF file:
```
data_CaPb2Au
_cell_length_a 4.747
_cell_length_b 4.747
_cell_length_c 4.680
_cell_angle_alpha 90.00
_cell_angle_beta 90.00
_cell_angle_gamma 90.00
_symmetry_space_group_name_H-M 'P 4/m m m'
_symmetry_Int_Tables_number 123
_symmetry_space_group_name_Hall '-P 4 2'
loop_
_atom_site_label
_atom_site_type_symbol
_atom_site_fract_x
_atom_site_fract_y
_atom_site_fract_z
Ca1 Ca 0.000 0.000 0.000
Pb1 Pb 0.000 0.500 0.500
Au1 Au 0.500 0.500 0.000
```

***

Density functional theory data (GGA-PBE) for a relaxed structure of CaPbAu2.

Output
**Formation enthalpy at 0 K**: -0.482 eV/atom
**V**: 95 Å³ per cell
**Density**: 11.166 g/cm3

CIF file:
```
data_CaPbAu2
_cell_length_a 3.709
_cell_length_b 3.740
_cell_length_c 6.874
_cell_angle_alpha 90.00
_cell_angle_beta 90.00
_cell_angle_gamma 90.00
_symmetry_space_group_name_H-M 'P m m m'
_symmetry_Int_Tables_number 47
loop_
_symmetry_equiv_pos_as_xyz
'x,y,z'
'-x,-y,-z'
'-x,-y,z'
'x,y,-z'
'x,-y,-z'
'-x,y,z'
'-x,y,-z'
'x,-y,z'
loop_
_atom_site_label
_atom_site_type_symbol
_atom_site_fract_x
_atom_site_fract_y
_atom_site_fract_z
Ca1 Ca 0.000 0.000 0.000
Pb1 Pb 0.000 0.000 0.500
Au1 Au 0.500 0.500 0.237
```

***

Density functional theory data (GGA-PBE) for a relaxed structure of CaPb2Au4.

Output
**Formation enthalpy at 0 K**: -0.328 eV/atom
**V**: 666 Å³ per cell
**Density**: 12.385 g/cm3

CIF file:
```
data_CaPb2Au4
_cell_length_a 18.056
_cell_length_b 6.697
_cell_length_c 5.510
_cell_angle_alpha 90.00
_cell_angle_beta 90.48
_cell_angle_gamma 90.00
_symmetry_space_group_name_H-M 'C 1 2/c 1'
_symmetry_Int_Tables_number 15
loop_
_symmetry_equiv_pos_as_xyz
'x,y,z'
'-x,-y,-z'
'-x,y,-z+1/2'
'x,-y,z+1/2'
'x+1/2,y+1/2,z'
'-x+1/2,-y+1/2,-z'
'-x+1/2,y+1/2,-z+1/2'
'x+1/2,-y+1/2,z+1/2'
loop_
_atom_site_label
_atom_site_type_symbol
_atom_site_fract_x
_atom_site_fract_y
_atom_site_fract_z
Ca1 Ca 0.000 0.233 0.250
Pb1 Pb 0.206 0.360 0.248
Au1 Au 0.079 0.356 0.754
Au2 Au 0.131 0.002 0.502
```

***

Density functional theory data (GGA-PBE) for a relaxed structure of CaPbAu2.

Output
**Formation enthalpy at 0 K**: -0.361 eV/atom
**V**: 97 Å³ per cell
**Density**: 10.947 g/cm3

CIF file:
```
data_CaPbAu2
_cell_length_a 3.739
_cell_length_b 3.739
_cell_length_c 6.957
_cell_angle_alpha 90.00
_cell_angle_beta 90.00
_cell_angle_gamma 90.00
_symmetry_space_group_name_H-M 'P 4 m m'
_symmetry_Int_Tables_number 99
loop_
_symmetry_equiv_pos_as_xyz
'x,y,z'
'-y,x,z'
'-x,-y,z'
'y,-x,z'
'-x,y,z'
'y,x,z'
'x,-y,z'
'-y,-x,z'
loop_
_atom_site_label
_atom_site_type_symbol
_atom_site_fract_x
_atom_site_fract_y
_atom_site_fract_z
Ca1 Ca 0.000 0.000 0.000
Pb1 Pb 0.500 0.500 0.345
Au1 Au 0.000 0.000 0.558
Au2 Au 0.500 0.500 0.785
```

***

Density functional theory data (GGA-PBE) for a relaxed structure of CaPb2Au.

Output
**Formation enthalpy at 0 K**: -0.419 eV/atom
**V**: 431 Å³ per cell
**Density**: 10.028 g/cm3

CIF file:
```
data_CaPb2Au
_cell_length_a 5.046
_cell_length_b 5.046
_cell_length_c 16.945
_cell_angle_alpha 90.00
_cell_angle_beta 90.00
_cell_angle_gamma 90.00
_symmetry_space_group_name_H-M 'I 4/m m m'
_symmetry_Int_Tables_number 139
_symmetry_space_group_name_Hall '-I 4 2'
loop_
_atom_site_label
_atom_site_type_symbol
_atom_site_fract_x
_atom_site_fract_y
_atom_site_fract_z
Ca1 Ca 0.000 0.000 0.141
Pb1 Pb 0.000 0.000 0.352
Pb2 Pb 0.000 0.500 0.000
Au1 Au 0.000 0.500 0.250
```

***

Density functional theory data (GGA-PBE) for a relaxed structure of CaPb2Au.

Output
**Formation enthalpy at 0 K**: -0.244 eV/atom
**V**: 466 Å³ per cell
**Density**: 9.284 g/cm3

CIF file:
```
data_CaPb2Au
_cell_length_a 4.569
_cell_length_b 4.569
_cell_length_c 22.326
_cell_angle_alpha 90.00
_cell_angle_beta 90.00
_cell_angle_gamma 90.00
_symmetry_space_group_name_H-M 'I -4 2 d'
_symmetry_Int_Tables_number 122
_symmetry_space_group_name_Hall 'I -4 2bw'
loop_
_atom_site_label
_atom_site_type_symbol
_atom_site_fract_x
_atom_site_fract_y
_atom_site_fract_z
Ca1 Ca 0.000 0.000 0.000
Pb1 Pb 0.234 0.250 0.625
Au1 Au 0.000 0.000 0.500
```

***

Density functional theory data (GGA-PBE) for a relaxed structure of CaPbAu2.

Output
**Formation enthalpy at 0 K**: -0.477 eV/atom
**V**: 95 Å³ per cell
**Density**: 11.209 g/cm3

CIF file:
```
data_CaPbAu2
_cell_length_a 4.943
_cell_length_b 4.943
_cell_length_c 3.888
_cell_angle_alpha 90.00
_cell_angle_beta 90.00
_cell_angle_gamma 90.00
_symmetry_space_group_name_H-M 'P 4/m m m'
_symmetry_Int_Tables_number 123
_symmetry_space_group_name_Hall '-P 4 2'
loop_
_atom_site_label
_atom_site_type_symbol
_atom_site_fract_x
_atom_site_fract_y
_atom_site_fract_z
Ca1 Ca 0.000 0.000 0.000
Pb1 Pb 0.500 0.500 0.000
Au1 Au 0.000 0.500 0.500
```

***

Density functional theory data (GGA-PBE) for a relaxed structure of CaPbAu2.

Output
**Formation enthalpy at 0 K**: -0.211 eV/atom
**V**: 457 Å³ per cell
**Density**: 9.328 g/cm3

CIF file:
```
data_CaPbAu2
_cell_length_a 4.944
_cell_length_b 4.944
_cell_length_c 18.680
_cell_angle_alpha 90.00
_cell_angle_beta 90.00
_cell_angle_gamma 90.00
_symmetry_space_group_name_H-M 'I -4 2 d'
_symmetry_Int_Tables_number 122
_symmetry_space_group_name_Hall 'I -4 2bw'
loop_
_atom_site_label
_atom_site_type_symbol
_atom_site_fract_x
_atom_site_fract_y
_atom_site_fract_z
Ca1 Ca 0.000 0.000 0.000
Pb1 Pb 0.000 0.000 0.500
Au1 Au 0.194 0.250 0.625
```

***

Density functional theory data (GGA-PBE) for a relaxed structure of CaPb3Au3.

Output
**Formation enthalpy at 0 K**: 0.091 eV/atom
**V**: 484 Å³ per cell
**Density**: 8.598 g/cm3

CIF file:
```
data_CaPb3Au3
_cell_length_a 7.851
_cell_length_b 7.851
_cell_length_c 7.851
_cell_angle_alpha 90.00
_cell_angle_beta 90.00
_cell_angle_gamma 90.00
_symmetry_space_group_name_H-M 'P m -3 n'
_symmetry_Int_Tables_number 223
_symmetry_space_group_name_Hall '-P 4n 2 3'
loop_
_atom_site_label
_atom_site_type_symbol
_atom_site_fract_x
_atom_site_fract_y
_atom_site_fract_z
Ca1 Ca 0.000 0.000 0.000
Pb1 Pb 0.000 0.250 0.500
Au1 Au 0.000 0.500 0.250
```

***

Density functional theory data (GGA-PBE) for a relaxed structure of Ca4Pb3Au2.

Output
**Formation enthalpy at 0 K**: -0.546 eV/atom
**V**: 254 Å³ per cell
**Density**: 7.701 g/cm3

CIF file:
```
data_Ca4Pb3Au2
_cell_length_a 5.3751
_cell_length_b 5.3751
_cell_length_c 10.1329
_cell_angle_alpha 90.00
_cell_angle_beta 90.00
_cell_angle_gamma 120.00
_symmetry_space_group_name_H-M 'P -3 m 1'
_symmetry_Int_Tables_number 164
_symmetry_space_group_name_Hall '-P 3 2"'
loop_
_atom_site_label
_atom_site_type_symbol
_atom_site_fract_x
_atom_site_fract_y
_atom_site_fract_z
Ca1 Ca 0.0000 0.0000 0.1817
Ca2 Ca 0.3333 0.6667 0.6139
Pb1 Pb 0.0000 0.0000 0.5000
Pb2 Pb 0.3333 0.6667 0.0028
Au1 Au 0.3333 0.6667 0.3098
```

***

Density functional theory data (GGA-PBE) for a relaxed structure of Ca2Pb3Au2.

Output
**Formation enthalpy at 0 K**: -0.479 eV/atom
**V**: 388 Å³ per cell
**Density**: 9.389 g/cm3

CIF file:
```
data_Ca2Pb3Au2
_cell_length_a 4.637
_cell_length_b 21.974
_cell_length_c 3.804
_cell_angle_alpha 90.00
_cell_angle_beta 90.00
_cell_angle_gamma 90.00
_symmetry_space_group_name_H-M 'C m m m'
_symmetry_Int_Tables_number 65
_symmetry_space_group_name_Hall '-C 2 2'
loop_
_atom_site_label
_atom_site_type_symbol
_atom_site_fract_x
_atom_site_fract_y
_atom_site_fract_z
Ca1 Ca 0.000 0.172 0.000
Pb1 Pb 0.000 0.000 0.000
Pb2 Pb 0.000 0.423 0.500
Au1 Au 0.000 0.287 0.500
```